(1)
An optimized crystal structure of BeCoSbPd, computed with PBE.

Cell: 4.292 4.292 4.292 Å, 60.00 60.00 60.00°
Site moments in Bohr magnetons follow the coordinates.
Sites, in units of the cell vectors:
Be 0.500 0.500 0.500  0.00
Co 0.750 0.750 0.750  0.48
Pd 0.250 0.250 0.250  0.05
Sb 0.000 0.000 0.000  0.01

total moment	0.55	μB/f.u.
E above lowest polymorph	0	meV per atom
VASP energy	-0.18565	hartree per atom

(2)
An optimized crystal structure of NdAgTe3Pb, computed with PBE.

Cell: 10.283 10.283 9.055 Å, 102.16 102.16 24.72°
Sites, in units of the cell vectors:
Ag 0.458 0.458 0.287
Ag 0.542 0.542 0.713
Nd 0.838 0.838 0.411
Nd 0.162 0.162 0.589
Pb 0.125 0.125 0.071
Pb 0.875 0.875 0.929
Te 0.500 0.500 0.000
Te 0.317 0.317 0.154
Te 0.674 0.674 0.345
Te 0.000 0.000 0.500
Te 0.326 0.326 0.655
Te 0.683 0.683 0.846

total moment	0.00	μB/f.u.
E above lowest polymorph	24	meV per atom
VASP energy	-0.15329	hartree per atom

(3)
An optimized crystal structure of Zr2GeIr, computed with PBE.

Cell: 4.683 4.683 4.683 Å, 60.00 60.00 60.00°
Site moments in Bohr magnetons follow the coordinates.
Sites, in units of the cell vectors:
Ge 0.500 0.500 0.500  0.01
Ir 0.250 0.250 0.250  0.13
Zr 0.000 0.000 0.000  0.43
Zr 0.750 0.750 0.750  0.90

total moment	1.94	μB/f.u.
VASP energy	-0.28974	hartree per atom